[1]
Material: EuYAgSb
Method: DFT, PBE
State: optimized geometry

Computed properties:
Crystal system: cubic
Magnetic moment (μB/f.u.): 7.9
Energy (eV per formula unit): -26.14
DOS(E_F) (states/eV/atom): 0.776

Cell: 7.5464 7.5464 7.5464 Å, 90.00 90.00 90.00°
Space group F-43m (No. 216)
Unique sites:
Eu 0.0000 0.0000 0.0000 x4
Y 0.0000 0.0000 0.5000 x4
Ag 0.2500 0.2500 0.7500 x4
Sb 0.2500 0.2500 0.2500 x4

[2]
Material: NaAc6Pt4
Method: DFT, PBE
State: optimized geometry

Computed properties:
Crystal system: orthorhombic
Magnetic moment (μB/f.u.): 0.0
Energy (eV per formula unit): -59.46
DOS(E_F) (states/eV/atom): 0.655

Cell: 4.4408 14.9320 23.1659 Å, 90.00 90.00 90.00°
Space group Cmcm (No. 63)
Unique sites:
Na 0.0000 0.1598 0.2500 x4
Ac 0.0000 0.0000 0.0000 x4
Ac 0.0000 0.1439 0.7500 x4
Ac 0.0000 0.2704 0.0782 x8
Ac 0.0000 0.4689 0.6503 x8
Pt 0.0000 0.0966 0.6228 x8
Pt 0.0000 0.3639 0.5407 x8

[3]
Material: La2P4O13
Method: DFT, PBE
State: optimized geometry

Computed properties:
Crystal system: monoclinic
Energy relative to the lowest polymorph listed for this composition (meV per atom): 7
Magnetic moment (μB/f.u.): 0.0
Energy (eV per formula unit): -146.99
DOS(E_F) (states/eV/atom): 0.000

Cell: 12.2582 7.1072 13.4810 Å, 90.00 105.18 90.00°
Space group C2/c (No. 15)
Unique sites:
La 0.1898 0.0057 0.0531 x8
P 0.0079 0.3411 0.8620 x8
P 0.2313 0.4857 0.6582 x8
O 0.0000 0.2517 0.7500 x4
O 0.0006 0.1753 0.5684 x8
O 0.0986 0.4763 0.6558 x8
O 0.1080 0.4687 0.8940 x8
O 0.2030 0.0102 0.2303 x8
O 0.2424 0.1812 0.4042 x8
O 0.2431 0.3370 0.0967 x8

[4]
Material: AgBiN2
Method: DFT, PBE
State: optimized geometry

Computed properties:
Crystal system: trigonal
Magnetic moment (μB/f.u.): 0.0
Energy (eV per formula unit): -19.67
DOS(E_F) (states/eV/atom): 0.204

Cell: 3.4547 3.4547 19.4799 Å, 90.00 90.00 120.00°
Space group R-3m (No. 166, hexagonal axes)
Unique sites:
Ag 0.0000 0.0000 0.0000 x3
Bi 0.0000 0.0000 0.5000 x3
N 0.0000 0.0000 0.1071 x6

[5]
Material: PaBeFe2
Method: DFT, PBE
State: optimized geometry

Computed properties:
Crystal system: cubic
Energy relative to the lowest polymorph listed for this composition (meV per atom): 179
Magnetic moment (μB/f.u.): 0.0
Energy (eV per formula unit): -30.12
DOS(E_F) (states/eV/atom): 0.493

Cell: 6.0408 6.0408 6.0408 Å, 90.00 90.00 90.00°
Space group Fm-3m (No. 225)
Unique sites:
Pa 0.0000 0.0000 0.0000 x4
Be 0.0000 0.0000 0.5000 x4
Fe 0.2500 0.2500 0.2500 x8

[6]
Material: CuRh8
Method: DFT, PBE
State: optimized geometry

Computed properties:
Crystal system: tetragonal
Magnetic moment (μB/f.u.): 0.0
Energy (eV per formula unit): -62.41
DOS(E_F) (states/eV/atom): 1.686

Cell: 8.1359 8.1359 3.8300 Å, 90.00 90.00 90.00°
Space group I4/mmm (No. 139)
Unique sites:
Cu 0.0000 0.0000 0.0000 x2
Rh 0.0000 0.3333 0.0000 x8
Rh 0.1677 0.1677 0.5000 x8

[7]
Material: MnPbCl3
Method: DFT, PBE
State: optimized geometry

Computed properties:
Crystal system: cubic
Energy relative to the lowest polymorph listed for this composition (meV per atom): 353
Magnetic moment (μB/f.u.): 6.0
Energy (eV per formula unit): -20.03
DOS(E_F) (states/eV/atom): 17.385

Cell: 5.6398 5.6398 5.6398 Å, 90.00 90.00 90.00°
Space group Pm-3m (No. 221)
Unique sites:
Mn 0.0000 0.0000 0.0000 x1
Pb 0.5000 0.5000 0.5000 x1
Cl 0.0000 0.5000 0.5000 x3

[8]
Material: SmEuSe
Method: DFT, PBE
State: optimized geometry

Computed properties:
Crystal system: trigonal
Magnetic moment (μB/f.u.): 8.2
Energy (eV per formula unit): -21.89
DOS(E_F) (states/eV/atom): 1.900

Cell: 4.0375 4.0375 6.8626 Å, 90.00 90.00 120.00°
Space group P3m1 (No. 156)
Unique sites:
Sm 0.0000 0.0000 0.0000 x1
Eu 0.6667 0.3333 0.4598 x1
Se 0.3333 0.6667 0.7386 x1

[9]
Material: La3SmSi4
Method: DFT, PBE
State: optimized geometry

Computed properties:
Crystal system: orthorhombic
Magnetic moment (μB/f.u.): 0.0
Energy (eV per formula unit): -45.57
DOS(E_F) (states/eV/atom): 1.146

Cell: 4.2371 6.4463 16.5016 Å, 90.00 90.00 90.00°
Space group Immm (No. 71)
Unique sites:
La 0.0000 0.0000 0.0000 x2
La 0.0000 0.5000 0.1956 x4
Sm 0.0000 0.0000 0.5000 x2
Si 0.0000 0.3179 0.3710 x8

[10]
Material: YBe2Pd
Method: DFT, PBE
State: optimized geometry

Computed properties:
Crystal system: tetragonal
Energy relative to the lowest polymorph listed for this composition (meV per atom): 52
Magnetic moment (μB/f.u.): 0.0
Energy (eV per formula unit): -19.72
DOS(E_F) (states/eV/atom): 0.716

Cell: 4.2290 4.2290 15.9505 Å, 90.00 90.00 90.00°
Space group I4_1/amd (No. 141, origin choice 2)
Unique sites:
Y 0.0000 0.2500 0.3750 x4
Be 0.0000 0.0000 0.0000 x8
Pd 0.0000 0.2500 0.8750 x4

[11]
Material: CsIn2BiO
Method: DFT, PBE
State: optimized geometry

Computed properties:
Crystal system: tetragonal
Magnetic moment (μB/f.u.): 0.0
Energy (eV per formula unit): -12.72
DOS(E_F) (states/eV/atom): 0.617

Cell: 6.5691 6.5691 4.4268 Å, 90.00 90.00 90.00°
Space group P4/mmm (No. 123)
Unique sites:
Cs 0.0000 0.0000 0.0000 x1
In 0.0000 0.5000 0.0000 x2
Bi 0.5000 0.5000 0.5000 x1
O 0.0000 0.0000 0.5000 x1

[12]
Material: Ho3TmAg4
Method: DFT, PBE
State: optimized geometry

Computed properties:
Crystal system: orthorhombic
Magnetic moment (μB/f.u.): 0.0
Energy (eV per formula unit): -32.25
DOS(E_F) (states/eV/atom): 0.546

Cell: 3.5805 5.1330 10.2618 Å, 90.00 90.00 90.00°
Space group Pmmm (No. 47)
Unique sites:
Ho 0.0000 0.0000 0.0000 x1
Ho 0.0000 0.5000 0.2506 x2
Tm 0.0000 0.0000 0.5000 x1
Ag 0.5000 0.0000 0.2522 x2
Ag 0.5000 0.5000 0.0000 x1
Ag 0.5000 0.5000 0.5000 x1

[13]
Material: SrLiAcMg
Method: DFT, PBE
State: optimized geometry

Computed properties:
Crystal system: cubic
Magnetic moment (μB/f.u.): 0.0
Energy (eV per formula unit): -9.23
DOS(E_F) (states/eV/atom): 0.998

Cell: 8.3024 8.3024 8.3024 Å, 90.00 90.00 90.00°
Space group F-43m (No. 216)
Unique sites:
Sr 0.0000 0.0000 0.0000 x4
Li 0.2500 0.2500 0.7500 x4
Ac 0.0000 0.0000 0.5000 x4
Mg 0.2500 0.2500 0.2500 x4

[14]
Material: Pm2MnSb
Method: DFT, PBE
State: optimized geometry

Computed properties:
Crystal system: tetragonal
Energy relative to the lowest polymorph listed for this composition (meV per atom): 0
Magnetic moment (μB/f.u.): 3.0
Energy (eV per formula unit): -24.00
DOS(E_F) (states/eV/atom): 1.281

Cell: 5.0395 5.0395 4.1652 Å, 90.00 90.00 90.00°
Space group P4/mmm (No. 123)
Unique sites:
Pm 0.0000 0.5000 0.0000 x2
Mn 0.0000 0.0000 0.5000 x1
Sb 0.5000 0.5000 0.5000 x1

[15]
Material: LaPmNd2
Method: DFT, PBE
State: optimized geometry

Computed properties:
Crystal system: triclinic
Energy relative to the lowest polymorph listed for this composition (meV per atom): 4
Magnetic moment (μB/f.u.): 0.0
Energy (eV per formula unit): -19.14
DOS(E_F) (states/eV/atom): 1.714

Cell: 6.4076 7.4142 12.2056 Å, 98.74 95.13 90.03°
Space group P-1 (No. 2)
Unique sites:
La 0.1043 0.1564 0.1263 x2
La 0.1867 0.2805 0.6230 x2
Pm 0.3125 0.9681 0.3746 x2
Pm 0.3951 0.5935 0.8775 x2
Nd 0.1054 0.6563 0.1232 x2
Nd 0.1920 0.7810 0.6242 x2
Nd 0.3130 0.4695 0.3736 x2
Nd 0.3962 0.0948 0.8774 x2

[16]
Material: BaGa2As2Se
Method: DFT, PBE
State: optimized geometry

Computed properties:
Crystal system: monoclinic
Magnetic moment (μB/f.u.): 0.0
Energy (eV per formula unit): -24.30

Cell: 7.3571 6.1879 7.4956 Å, 90.00 102.49 90.00°
Space group P2_1/m (No. 11)
Unique sites:
Ba 0.2231 0.2500 0.3879 x2
Ga 0.2801 0.5077 0.8763 x4
As 0.0535 0.2500 0.9363 x2
As 0.2618 0.7500 0.6137 x2
Se 0.4394 0.7500 0.1613 x2

[17]
Material: Zr2TaPd
Method: DFT, PBE
State: optimized geometry

Computed properties:
Crystal system: tetragonal
Energy relative to the lowest polymorph listed for this composition (meV per atom): 104
Magnetic moment (μB/f.u.): 0.0
Energy (eV per formula unit): -34.99
DOS(E_F) (states/eV/atom): 1.184

Cell: 4.7685 4.7685 3.4156 Å, 90.00 90.00 90.00°
Space group P4/mmm (No. 123)
Unique sites:
Zr 0.0000 0.5000 0.0000 x2
Ta 0.0000 0.0000 0.5000 x1
Pd 0.5000 0.5000 0.5000 x1

[18]
Material: LaTb5ErTh2
Method: DFT, PBE
State: optimized geometry

Computed properties:
Crystal system: tetragonal
Magnetic moment (μB/f.u.): 0.0
Energy (eV per formula unit): -44.52
DOS(E_F) (states/eV/atom): 1.457

Cell: 8.9240 8.9240 15.2947 Å, 90.00 90.00 90.00°
Space group I4/mcm (No. 140)
Unique sites:
La 0.0000 0.0000 0.2500 x4
Tb 0.0000 0.0000 0.0000 x4
Tb 0.2069 0.2931 0.1360 x16
Er 0.0000 0.5000 0.2500 x4
Th 0.1190 0.3810 0.5000 x8

[19]
Material: EuMgInSn
Method: DFT, PBE
State: optimized geometry

Computed properties:
Crystal system: cubic
Magnetic moment (μB/f.u.): 7.0
Energy (eV per formula unit): -20.01
DOS(E_F) (states/eV/atom): 0.567

Cell: 7.5410 7.5410 7.5410 Å, 90.00 90.00 90.00°
Space group F-43m (No. 216)
Unique sites:
Eu 0.0000 0.0000 0.0000 x4
Mg 0.0000 0.0000 0.5000 x4
In 0.2500 0.2500 0.2500 x4
Sn 0.2500 0.2500 0.7500 x4

[20]
Material: K2LaCr
Method: DFT, PBE
State: optimized geometry

Computed properties:
Crystal system: tetragonal
Energy relative to the lowest polymorph listed for this composition (meV per atom): 240
Magnetic moment (μB/f.u.): 4.1
Energy (eV per formula unit): -13.61
DOS(E_F) (states/eV/atom): 1.098

Cell: 4.8068 4.8068 6.7315 Å, 90.00 90.00 90.00°
Space group P4/mmm (No. 123)
Unique sites:
K 0.0000 0.5000 0.0000 x2
La 0.0000 0.0000 0.5000 x1
Cr 0.5000 0.5000 0.5000 x1